No. 1
A plane-wave DFT calculation with PBE was carried out for ReTeWI after structural relaxation.

Cell lengths 3.3292, 3.3286, 10.9932 Å; angles 89.79, 89.65, 59.99 degrees
Sites, in units of the cell vectors:
Te (0.7313, 0.3171, 0.1606)
Re (0.7278, 0.3156, 0.4115)
I (0.3850, 0.9821, 0.8074)
W (0.3918, 0.9820, 0.5516)

M_tot = 0.00 Bohr magnetons per cell
E_form (uncorrected) = 581 meV/atom

No. 2
A plane-wave DFT calculation with PBE was carried out for AlNi3Cl after structural relaxation.

Cell lengths 4.4264, 4.4264, 4.4264 Å; angles 90.00, 90.00, 90.00 degrees
Sites, in units of the cell vectors:
Ni (0.5000, 0.0000, 0.0000)
Ni (0.0000, 0.0000, 0.5000)
Cl (0.5000, 0.5000, 0.5000)
Ni (0.0000, 0.5000, 0.0000)
Al (0.0000, 0.0000, 0.0000)

M_tot = 0.18 Bohr magnetons per cell
E_form (uncorrected) = 848 meV/atom

No. 3
A plane-wave DFT calculation with PBE was carried out for La2Tb3Y2 after structural relaxation.

Cell lengths 3.5421, 8.6423, 9.0835 Å; angles 118.45, 101.24, 90.00 degrees
Sites, in units of the cell vectors:
La (0.5668, 0.9138, 0.1336)
Tb (0.7881, 0.2020, 0.5762)
Y (0.8481, 0.6602, 0.6962)
Tb (0.2119, 0.7980, 0.4238)
Y (0.1519, 0.3398, 0.3038)
Tb (0.0000, 0.5000, 0.0000)
La (0.4332, 0.0862, 0.8664)

energy = -5.116 eV/atom
M_tot = 0.00 Bohr magnetons per cell

No. 4
A plane-wave DFT calculation with PBE was carried out for LaCrB14 after structural relaxation.

Cell lengths 5.8672, 7.4562, 7.4561 Å; angles 67.95, 66.83, 66.83 degrees
Sites, in units of the cell vectors:
B (0.6659, 0.3644, 0.3039)
La (0.7500, 0.6223, 0.8777)
B (0.6006, 0.4003, 0.7193)
B (0.3341, 0.6356, 0.6961)
B (0.6746, 0.0275, 0.1259)
B (0.0827, 0.0857, 0.7489)
B (0.1720, 0.0275, 0.1259)
Cr (0.5000, 0.0000, 0.5000)
B (0.2202, 0.7807, 0.0997)
B (0.2798, 0.4003, 0.7193)
B (0.3738, 0.9911, 0.2612)
B (0.1746, 0.6259, 0.5275)
B (0.8280, 0.9725, 0.8741)
B (0.8254, 0.3741, 0.4725)
B (0.6262, 0.0089, 0.7388)
B (0.7202, 0.5997, 0.2807)
B (0.8738, 0.7612, 0.4911)
La (0.2500, 0.3777, 0.1223)
B (0.6720, 0.6259, 0.5275)
B (0.1006, 0.2193, 0.9003)
B (0.3254, 0.9725, 0.8741)
B (0.3994, 0.5997, 0.2807)
B (0.1262, 0.2388, 0.5089)
Cr (0.0000, 0.0000, 0.5000)
B (0.7798, 0.2193, 0.9003)
B (0.8994, 0.7807, 0.0997)
B (0.4173, 0.7511, 0.4143)
B (0.1659, 0.8039, 0.8644)
B (0.9173, 0.9143, 0.2511)
B (0.5827, 0.2489, 0.5857)
B (0.8341, 0.1961, 0.1356)
B (0.3280, 0.3741, 0.4725)

energy = -6.907 eV/atom
M_tot = 5.67 Bohr magnetons per cell

No. 5
A plane-wave DFT calculation with PBE was carried out for Ru2Se after structural relaxation.

Cell lengths 5.8187, 5.8187, 5.5499 Å; angles 80.57, 80.57, 29.08 degrees
Sites, in units of the cell vectors:
Se (0.7117, 0.7117, 0.0464)
Ru (0.3888, 0.3888, 0.7378)
Se (0.0291, 0.0291, 0.4723)
Ru (0.6829, 0.6829, 0.6259)
Ru (0.3355, 0.3355, 0.2607)
Ru (0.0187, 0.0187, 0.0236)

M_tot = 0.00 Bohr magnetons per cell
E_form (uncorrected) = 221 meV/atom

No. 6
A plane-wave DFT calculation with PBE was carried out for NaLa2Cd after structural relaxation.

Cell lengths 4.0352, 4.0352, 8.2498 Å; angles 90.00, 90.00, 90.00 degrees
Sites, in units of the cell vectors:
La (0.0000, 0.0000, 0.7856)
La (0.0000, 0.0000, 0.2144)
Cd (0.5000, 0.5000, 0.0000)
Na (0.5000, 0.5000, 0.5000)

energy = -3.065 eV/atom
M_tot = 0.02 Bohr magnetons per cell